Entry 1:
# Nb2NiH4

Crystalline Nb2NiH4 at its relaxed geometry (GGA-PBE, the Alexandria database).

Lattice parameters (Å, degrees): 3.0951 3.0951 11.8470 90.00 90.00 90.00
With the nearest neighbours (Å) after each atom.
Fractional positions:
Nb 0.0000 0.0000 0.1534  5 H 2.06-2.20
Nb 0.0000 0.0000 0.8466  5 H 2.06-2.20
Nb 0.5000 0.5000 0.3466  5 H 2.06-2.20
Nb 0.5000 0.5000 0.6534  5 H 2.06-2.20
Ni 0.0000 0.0000 0.5000  4 H 1.55
Ni 0.5000 0.5000 0.0000  4 H 1.55
H 0.0000 0.0000 0.3270  1 Ni 2.05, 5 Nb 2.06-2.20
H 0.0000 0.0000 0.6730  1 Ni 2.05, 5 Nb 2.06-2.20
H 0.0000 0.5000 0.0000  2 Ni 1.55
H 0.0000 0.5000 0.5000  2 Ni 1.55
H 0.5000 0.0000 0.0000  2 Ni 1.55
H 0.5000 0.0000 0.5000  2 Ni 1.55
H 0.5000 0.5000 0.1730  1 Ni 2.05, 5 Nb 2.06-2.20
H 0.5000 0.5000 0.8270  1 Ni 2.05, 5 Nb 2.06-2.20

Values from the calculation:
Space-group type ... I4/mmm
Relative energy among the computed polymorphs ... 0.000 eV/atom

=====

Entry 2:
# Bi2SBr

Crystalline Bi2SBr at its relaxed geometry (GGA-PBE, the Alexandria database).

Lattice parameters (Å, degrees): 7.4381 7.4381 7.4381 90.00 90.00 90.00
With the nearest neighbours (Å) after each atom.
Fractional positions:
Bi 0.2500 0.2500 0.2500  4 S 3.22, 4 Br 3.22
Bi 0.2500 0.2500 0.7500  4 Br 3.22, 4 S 3.22
Bi 0.2500 0.7500 0.2500  4 Br 3.22, 4 S 3.22
Bi 0.2500 0.7500 0.7500  4 S 3.22, 4 Br 3.22
Bi 0.7500 0.2500 0.2500  4 Br 3.22, 4 S 3.22
Bi 0.7500 0.2500 0.7500  4 S 3.22, 4 Br 3.22
Bi 0.7500 0.7500 0.2500  4 S 3.22, 4 Br 3.22
Bi 0.7500 0.7500 0.7500  4 Br 3.22, 4 S 3.22
S 0.0000 0.0000 0.0000  8 Bi 3.22
S 0.0000 0.5000 0.5000  8 Bi 3.22
S 0.5000 0.0000 0.5000  8 Bi 3.22
S 0.5000 0.5000 0.0000  8 Bi 3.22
Br 0.0000 0.0000 0.5000  8 Bi 3.22
Br 0.0000 0.5000 0.0000  8 Bi 3.22
Br 0.5000 0.0000 0.0000  8 Bi 3.22
Br 0.5000 0.5000 0.5000  8 Bi 3.22

Values from the calculation:
Space-group type ... Fm-3m
Relative energy among the computed polymorphs ... 0.423 eV/atom
Uncorrected formation energy ... 0.48 eV/f.u.

=====

Entry 3:
# SmTmThZn

Crystalline SmTmThZn at its relaxed geometry (GGA-PBE, the Alexandria database).

Lattice parameters (Å, degrees): 7.6124 7.6124 7.6124 90.00 90.00 90.00
With the nearest neighbours (Å) after each atom.
Fractional positions:
Sm 0.0000 0.0000 0.0000  4 Tm 3.30, 4 Zn 3.30
Sm 0.0000 0.5000 0.5000  4 Tm 3.30, 4 Zn 3.30
Sm 0.5000 0.0000 0.5000  4 Tm 3.30, 4 Zn 3.30
Sm 0.5000 0.5000 0.0000  4 Tm 3.30, 4 Zn 3.30
Tm 0.2500 0.2500 0.2500  4 Th 3.30, 4 Sm 3.30
Tm 0.2500 0.7500 0.7500  4 Th 3.30, 4 Sm 3.30
Tm 0.7500 0.2500 0.7500  4 Th 3.30, 4 Sm 3.30
Tm 0.7500 0.7500 0.2500  4 Th 3.30, 4 Sm 3.30
Th 0.0000 0.0000 0.5000  4 Tm 3.30, 4 Zn 3.30
Th 0.0000 0.5000 0.0000  4 Tm 3.30, 4 Zn 3.30
Th 0.5000 0.0000 0.0000  4 Tm 3.30, 4 Zn 3.30
Th 0.5000 0.5000 0.5000  4 Zn 3.30, 4 Tm 3.30
Zn 0.2500 0.2500 0.7500  4 Th 3.30, 4 Sm 3.30
Zn 0.2500 0.7500 0.2500  4 Th 3.30, 4 Sm 3.30
Zn 0.7500 0.2500 0.2500  4 Th 3.30, 4 Sm 3.30
Zn 0.7500 0.7500 0.7500  4 Th 3.30, 4 Sm 3.30

Values from the calculation:
Space-group type ... F-43m
Relative energy among the computed polymorphs ... 0.229 eV/atom
Calculated formation energy ... 0.07 eV/atom

=====

Entry 4:
# Th3MgAl8

Crystalline Th3MgAl8 at its relaxed geometry (GGA-PBE, the Alexandria database).

Lattice parameters (Å, degrees): 9.7108 9.7108 9.7108 33.90 33.90 33.90
With the nearest neighbours (Å) after each atom.
Fractional positions:
Th 0.0000 0.0000 0.0000  12 Al 3.21-3.35, 3 Mg 3.42, 1 Th 3.56
Th 0.1300 0.1300 0.1300  12 Al 3.25-3.34, 4 Th 3.48-3.56
Th 0.5066 0.5066 0.5066  12 Al 3.27-3.38, 1 Mg 3.37, 3 Th 3.48
Mg 0.6294 0.6294 0.6294  12 Al 3.26-3.32, 4 Th 3.37-3.42
Al 0.0648 0.5659 0.5659  6 Al 2.82-2.84
Al 0.0672 0.0672 0.5638  6 Al 2.77-2.85
Al 0.0672 0.5638 0.0672  6 Al 2.77-2.85
Al 0.3147 0.3147 0.3147  6 Al 2.77-2.83
Al 0.5638 0.0672 0.0672  6 Al 2.77-2.85
Al 0.5659 0.0648 0.5659  6 Al 2.82-2.84
Al 0.5659 0.5659 0.0648  6 Al 2.82-2.84
Al 0.8165 0.8165 0.8165  6 Al 2.81-2.83

Values from the calculation:
Space-group type ... R3m
Calculated formation energy ... -0.33 eV/atom

=====

Entry 5:
# Na3Li2Pb4

Crystalline Na3Li2Pb4 at its relaxed geometry (GGA-PBE, the Alexandria database).

Lattice parameters (Å, degrees): 5.1607 5.2166 10.0056 88.06 89.93 60.38
With the nearest neighbours (Å) after each atom.
Fractional positions:
Na 0.0000 0.0000 0.0000  8 Pb 3.21-3.28, 4 Li 3.56-3.57
Na 0.3335 0.3334 0.4596  3 Na 3.10-3.11, 4 Pb 3.28-3.32, 1 Li 3.42
Na 0.6665 0.6666 0.5404  3 Na 3.10-3.11, 4 Pb 3.28-3.32, 1 Li 3.42
Li 0.3312 0.3369 0.8010  7 Pb 3.07-3.30, 1 Na 3.42
Li 0.6688 0.6631 0.1990  7 Pb 3.07-3.30, 1 Na 3.42
Pb 0.0006 0.0007 0.3205  3 Li 3.20-3.26, 4 Na 3.21-3.32, 2 Pb 3.49-3.50
Pb 0.3365 0.3285 0.1313  4 Li 3.07-3.30, 4 Na 3.27-3.29
Pb 0.6635 0.6715 0.8687  4 Li 3.07-3.30, 4 Na 3.27-3.29
Pb 0.9994 0.9993 0.6795  3 Li 3.20-3.26, 4 Na 3.21-3.32, 2 Pb 3.49-3.50

Values from the calculation:
Space-group type ... P-1
Relative energy among the computed polymorphs ... 0.000 eV/atom
Calculated formation energy ... -0.18 eV/atom

=====

Entry 6:
# Tl3SnAu

Crystalline Tl3SnAu at its relaxed geometry (GGA-PBE, the Alexandria database).

Lattice parameters (Å, degrees): 5.5253 5.5253 5.5253 90.00 90.00 90.00
With the nearest neighbours (Å) after each atom.
Fractional positions:
Tl 0.0000 0.0000 0.5000  2 Au 2.76
Tl 0.0000 0.5000 0.0000  2 Au 2.76
Tl 0.5000 0.0000 0.0000  2 Au 2.76
Sn 0.5000 0.5000 0.5000  12 Tl 3.91
Au 0.0000 0.0000 0.0000  6 Tl 2.76

Values from the calculation:
Space-group type ... Pm-3m
Relative energy among the computed polymorphs ... 0.244 eV/atom
Calculated formation energy ... 0.25 eV/atom